1.
Entry from the Alexandria database: RbLaHo4S8 after structural relaxation (PBE).

```
data_RbLaHo4S8
_chemical_formula_sum 'Rb3 La3 Ho12 S24'
_cell_length_a 8.2174
_cell_length_b 8.2174
_cell_length_c 20.9080
_cell_angle_alpha 90.00
_cell_angle_beta 90.00
_cell_angle_gamma 120.00
_symmetry_space_group_name_H-M 'R 3 m'
_symmetry_Int_Tables_number 160
_symmetry_space_group_name_Hall 'R 3 -2"'
loop_
_atom_site_label
_atom_site_fract_x
_atom_site_fract_y
_atom_site_fract_z
_atom_site_occupancy
Rb1 0.0000 0.0000 0.0000 1
La1 0.0000 0.0000 0.3649 1
Ho1 0.0000 0.0000 0.7437 1
Ho2 0.0114 0.5057 0.8708 1
S1 0.0000 0.0000 0.1400 1
S2 0.0000 0.0000 0.6127 1
S3 0.0120 0.5060 0.1244 1
S4 0.1883 0.3767 0.9414 1
```

Calculated values
Fermi-level density of states   0.000 states/eV per atom
ΔE_f (raw)   -2586 kJ/mol of formula units
Raw total energy   -6.002 eV/atom
V   408 Å³/f.u.

---

2.
Entry from the Alexandria database: Tl2NiCl after structural relaxation (PBE).

```
data_Tl2NiCl
_chemical_formula_sum 'Tl8 Ni4 Cl4'
_cell_length_a 7.3202
_cell_length_b 7.3202
_cell_length_c 7.3202
_cell_angle_alpha 90.00
_cell_angle_beta 90.00
_cell_angle_gamma 90.00
_symmetry_space_group_name_H-M 'F m -3 m'
_symmetry_Int_Tables_number 225
_symmetry_space_group_name_Hall '-F 4 2 3'
loop_
_atom_site_label
_atom_site_fract_x
_atom_site_fract_y
_atom_site_fract_z
_atom_site_occupancy
Tl1 0.2500 0.2500 0.2500 1
Ni1 0.0000 0.0000 0.0000 1
Cl1 0.0000 0.0000 0.5000 1
```

Calculated values
Fermi-level density of states   0.931 states/eV per atom
Distance to the lowest polymorph of the same formula   295 meV/atom
ΔE_f (raw)   65 kJ/mol of formula units
Raw total energy   -2.921 eV/atom
V   98 Å³/f.u.

---

3.
Entry from the Alexandria database: Ce2SmEr3P6 after structural relaxation (PBE).

```
data_Ce2SmEr3P6
_chemical_formula_sum 'Ce4 Sm2 Er6 P12'
_cell_length_a 6.9832
_cell_length_b 12.0948
_cell_length_c 6.9639
_cell_angle_alpha 90.00
_cell_angle_beta 109.52
_cell_angle_gamma 90.00
_symmetry_space_group_name_H-M 'C 1 2/m 1'
_symmetry_Int_Tables_number 12
_symmetry_space_group_name_Hall '-C 2y'
loop_
_atom_site_label
_atom_site_fract_x
_atom_site_fract_y
_atom_site_fract_z
_atom_site_occupancy
Ce1 0.0000 0.1668 0.0000 1
Sm1 0.0000 0.5000 0.0000 1
Er1 0.0000 0.0000 0.5000 1
Er2 0.0000 0.3339 0.5000 1
P1 0.2467 0.1681 0.7443 1
P2 0.2495 0.0000 0.2568 1
```

Calculated values
Energy of formation   -18.85 eV/f.u.
Fermi-level density of states   0.821 states/eV per atom
Raw total energy   -6.798 eV/atom
V   277 Å³/f.u.

---

4.
Entry from the Alexandria database: Mg2MnS3 after structural relaxation (PBE).

```
data_Mg2MnS3
_chemical_formula_sum 'Mg8 Mn4 S12'
_cell_length_a 6.4566
_cell_length_b 11.9014
_cell_length_c 6.4206
_cell_angle_alpha 90.00
_cell_angle_beta 105.88
_cell_angle_gamma 90.00
_symmetry_space_group_name_H-M 'C 1 m 1'
_symmetry_Int_Tables_number 8
_symmetry_space_group_name_Hall 'C -2y'
loop_
_atom_site_label
_atom_site_fract_x
_atom_site_fract_y
_atom_site_fract_z
_atom_site_occupancy
Mg1 0.0000 0.1623 0.0000 1
Mg2 0.0006 0.3174 0.5004 1
Mn1 0.1870 0.0000 0.6727 1
Mn2 0.3109 0.5000 0.3250 1
S1 0.1954 0.0000 0.2839 1
S2 0.2322 0.3122 0.2396 1
S3 0.2680 0.1874 0.7606 1
S4 0.3029 0.5000 0.7145 1
```

Calculated values
ΔE_f (raw)   -586 kJ/mol of formula units
Raw total energy   -5.135 eV/atom
V   119 Å³/f.u.

---

Copy entry 1 word for word.
Entry from the Alexandria database: RbLaHo4S8 after structural relaxation (PBE).

```
data_RbLaHo4S8
_chemical_formula_sum 'Rb3 La3 Ho12 S24'
_cell_length_a 8.2174
_cell_length_b 8.2174
_cell_length_c 20.9080
_cell_angle_alpha 90.00
_cell_angle_beta 90.00
_cell_angle_gamma 120.00
_symmetry_space_group_name_H-M 'R 3 m'
_symmetry_Int_Tables_number 160
_symmetry_space_group_name_Hall 'R 3 -2"'
loop_
_atom_site_label
_atom_site_fract_x
_atom_site_fract_y
_atom_site_fract_z
_atom_site_occupancy
Rb1 0.0000 0.0000 0.0000 1
La1 0.0000 0.0000 0.3649 1
Ho1 0.0000 0.0000 0.7437 1
Ho2 0.0114 0.5057 0.8708 1
S1 0.0000 0.0000 0.1400 1
S2 0.0000 0.0000 0.6127 1
S3 0.0120 0.5060 0.1244 1
S4 0.1883 0.3767 0.9414 1
```

Calculated values
Fermi-level density of states   0.000 states/eV per atom
ΔE_f (raw)   -2586 kJ/mol of formula units
Raw total energy   -6.002 eV/atom
V   408 Å³/f.u.